An optimized crystal structure of Ac3Mn3Ge8. Source: the Alexandria database, functional PBE-GGA.

Computed properties:
Energy of formation   -0.3311 eV per atom
E   -5.815 eV/atom
Fermi-level density of states   0.67 states/eV/atom
Calculated density   7.64 g cm⁻³
Calculated volume   22.150 A^3/atom

a = 16.8822 Å, b = 4.5112 Å, c = 9.0457 Å
α = 90.00°, β = 115.81°, γ = 90.00°
Space group C2/m (No. 12)
One atom of each set of equivalent atoms:
Ac 0.0000 0.0000 0.0000 (multiplicity 2)
Ac 0.2101 0.5000 0.6733 (multiplicity 4)
Mn 0.0000 0.0000 0.5000 (multiplicity 2)
Mn 0.1554 0.5000 0.9938 (multiplicity 4)
Ge 0.0158 0.5000 0.7096 (multiplicity 4)
Ge 0.1130 0.0000 0.3922 (multiplicity 4)
Ge 0.1365 0.5000 0.2527 (multiplicity 4)
Ge 0.1722 0.0000 0.8971 (multiplicity 4)